# EuPO4

A geometry-optimized EuPO4 structure (PBE, Alexandria).

Cell: 6.4817 7.0272 8.1958 Å, 90.00 126.06 90.00°
Fractional coordinates of all 24 atoms:
Eu (0.1855, 0.1566, 0.2827)
Eu (0.1855, 0.3434, 0.7827)
Eu (0.8145, 0.6566, 0.2173)
Eu (0.8145, 0.8434, 0.7173)
P (0.3067, 0.6616, 0.1956)
P (0.3067, 0.8384, 0.6956)
P (0.6933, 0.1616, 0.3044)
P (0.6933, 0.3384, 0.8044)
O (0.1188, 0.6671, 0.6171)
O (0.1188, 0.8329, 0.1171)
O (0.1876, 0.5049, 0.2493)
O (0.1876, 0.9951, 0.7493)
O (0.3369, 0.6016, 0.0285)
O (0.3369, 0.8984, 0.5285)
O (0.4164, 0.2107, 0.1251)
O (0.4164, 0.2893, 0.6251)
O (0.5836, 0.7107, 0.3749)
O (0.5836, 0.7893, 0.8749)
O (0.6631, 0.1016, 0.4715)
O (0.6631, 0.3984, 0.9715)
O (0.8124, 0.0049, 0.2507)
O (0.8124, 0.4951, 0.7507)
O (0.8812, 0.1671, 0.8829)
O (0.8812, 0.3329, 0.3829)

* space group: P2_1/c
* DOS(E_F): 9.6 states/eV/f.u.
* energy: -8.5631 eV per atom


# HfTa2N3

A geometry-optimized HfTa2N3 structure (PBE, Alexandria).

Cell: 5.2494 5.2494 2.9946 Å, 90.00 90.00 120.00°
Fractional coordinates of all 6 atoms:
Hf (0.0000, 0.0000, 0.0000)
Ta (0.3333, 0.6667, 0.5000)
Ta (0.6667, 0.3333, 0.5000)
N (0.0000, 0.5000, 0.0000)
N (0.5000, 0.0000, 0.0000)
N (0.5000, 0.5000, 0.0000)

* space group: P6/mmm
* DOS(E_F): 3.5 states/eV/f.u.
* energy: -10.7443 eV per atom


Record-wise M_tot values, in μB/f.u.: 6.00, 0.00
Record-wise formation energy without anion corrections values, in kJ/mol of atoms: -255, -94